No. 1
# Ba2TbZn

A relaxed structure of Ba2TbZn (GGA-PBE, the Alexandria database).

a = 3.8812 Å, b = 3.8812 Å, c = 12.5499 Å
α = 81.10°, β = 81.10°, γ = 60.00°
With the nearest neighbours (Å) after each atom.
Element x y z (fractional)
1 Zn 0.5000 0.5000 0.5000  6 Ba 3.37
2 Tb 0.0000 0.0000 0.0000  2 Ba 3.65, 6 Tb 3.88
3 Ba 0.0986 0.0986 0.7043  3 Zn 3.37, 1 Tb 3.65
4 Ba 0.9014 0.9014 0.2957  3 Zn 3.37, 1 Tb 3.65

SG = R-3m (166)
Calculated formation energy = 1.332 eV per formula unit


No. 2
# CrHSe2

A relaxed structure of CrHSe2 (GGA-PBE, the Alexandria database).

a = 6.7760 Å, b = 3.6203 Å, c = 3.6203 Å
α = 126.36°, β = 113.33°, γ = 66.67°
With the nearest neighbours (Å) after each atom.
Element x y z (fractional)
1 Cr 0.0000 0.0000 0.0000  6 Se 2.50-2.52
2 Se 0.7551 0.8030 0.1970  2 H 2.31, 3 Cr 2.50-2.52
3 Se 0.2449 0.1970 0.8030  2 H 2.31, 3 Cr 2.50-2.52
4 H 0.5000 0.5000 0.5000  4 Se 2.31

SG = C2/m (12)
Energy above the most stable polymorph in this dataset = 1.69 eV/f.u.


No. 3
# MgAs2Cl

A relaxed structure of MgAs2Cl (GGA-PBE, the Alexandria database).

a = 3.6917 Å, b = 3.6917 Å, c = 9.0590 Å
α = 80.93°, β = 80.93°, γ = 59.94°
With the nearest neighbours (Å) after each atom.
Element x y z (fractional)
1 As 0.9860 0.9860 0.0168  3 As 2.56
2 As 0.6938 0.6938 0.8581  3 As 2.56
3 Cl 0.5573 0.5573 0.3879  3 Mg 2.52
4 Mg 0.2629 0.2629 0.2372  3 Cl 2.52

SG = Cm (8)
Formation energy from raw total energies = -0.59 eV per atom
Energy above the most stable polymorph in this dataset = 0.00 eV/f.u.


No. 4
# HfSnRh6

A relaxed structure of HfSnRh6 (GGA-PBE, the Alexandria database).

a = 4.0217 Å, b = 5.5735 Å, c = 5.5735 Å
α = 92.89°, β = 90.00°, γ = 90.00°
With the nearest neighbours (Å) after each atom.
Element x y z (fractional)
1 Hf 0.0000 0.1030 0.8970  10 Rh 2.71-2.87
2 Sn 0.5000 0.3966 0.6034  10 Rh 2.72-2.86
3 Rh 0.0000 0.6168 0.8805  8 Rh 2.71-2.93, 2 Hf 2.71-2.87, 2 Sn 2.78
4 Rh 0.0000 0.1195 0.3832  8 Rh 2.71-2.93, 2 Hf 2.71-2.87, 2 Sn 2.78
5 Rh 0.0000 0.6335 0.3665  10 Rh 2.71-2.87, 2 Sn 2.78
6 Rh 0.5000 0.8855 0.6227  2 Sn 2.72-2.86, 8 Rh 2.73-2.93, 2 Hf 2.77
7 Rh 0.5000 0.3773 0.1145  2 Sn 2.72-2.86, 8 Rh 2.73-2.93, 2 Hf 2.77
8 Rh 0.5000 0.8679 0.1321  10 Rh 2.73-2.85, 2 Hf 2.77

SG = Amm2 (38)
Calculated formation energy = -3.336 eV per formula unit


No. 5
# Ca4Dy3ScTe8

A relaxed structure of Ca4Dy3ScTe8 (GGA-PBE, the Alexandria database).

a = 8.7354 Å, b = 8.8689 Å, c = 8.7363 Å
α = 119.51°, β = 120.00°, γ = 90.00°
With the nearest neighbours (Å) after each atom.
Element x y z (fractional)
1 Ca 0.5000 0.0000 0.0000  6 Te 3.19
2 Ca 0.5000 0.0000 0.5000  6 Te 3.13
3 Ca 0.0000 0.0000 0.0000  6 Te 3.13-3.14
4 Ca 0.0000 0.0000 0.5000  6 Te 3.13
5 Dy 0.5000 0.5000 0.0000  6 Te 3.09-3.10
6 Dy 0.5000 0.5000 0.5000  6 Te 3.09
7 Dy 0.0000 0.5000 0.5000  6 Te 3.09
8 Sc 0.0000 0.5000 0.0000  6 Te 3.03
9 Te 0.2439 0.7406 0.9971  1 Sc 3.03, 2 Dy 3.09, 3 Ca 3.13-3.19
10 Te 0.2436 0.7406 0.4872  1 Sc 3.03, 2 Dy 3.09, 3 Ca 3.13-3.19
11 Te 0.2513 0.2548 0.5027  3 Dy 3.09-3.10, 3 Ca 3.13
12 Te 0.7532 0.7406 0.9971  1 Sc 3.03, 2 Dy 3.09, 3 Ca 3.13-3.19
13 Te 0.2468 0.2594 0.0029  1 Sc 3.03, 2 Dy 3.09, 3 Ca 3.13-3.19
14 Te 0.7487 0.7452 0.4973  3 Dy 3.09-3.10, 3 Ca 3.13
15 Te 0.7564 0.2594 0.5128  1 Sc 3.03, 2 Dy 3.09, 3 Ca 3.13-3.19
16 Te 0.7561 0.2594 0.0029  1 Sc 3.03, 2 Dy 3.09, 3 Ca 3.13-3.19

SG = R-3m (166)
Formation energy from raw total energies = -1.42 eV per atom


No. 6
# DyYHg

A relaxed structure of DyYHg (GGA-PBE, the Alexandria database).

a = 3.7171 Å, b = 5.1373 Å, c = 5.1373 Å
α = 120.00°, β = 90.00°, γ = 90.00°
With the nearest neighbours (Å) after each atom.
Element x y z (fractional)
1 Y 0.3907 0.3333 0.6667  3 Hg 3.16, 3 Dy 3.43
2 Hg 0.6828 0.6667 0.3333  3 Dy 3.10, 3 Y 3.16
3 Dy 0.9266 0.0000 0.0000  3 Hg 3.10, 3 Y 3.43

SG = P3m1 (156)
Calculated formation energy = -0.570 eV per formula unit
Energy above the most stable polymorph in this dataset = 0.57 eV/f.u.


No. 7
# Ac3SbRu

A relaxed structure of Ac3SbRu (GGA-PBE, the Alexandria database).

a = 5.6644 Å, b = 5.6644 Å, c = 5.6644 Å
α = 90.00°, β = 90.00°, γ = 90.00°
With the nearest neighbours (Å) after each atom.
Element x y z (fractional)
1 Sb 0.5000 0.5000 0.5000  12 Ac 4.01
2 Ac 0.0000 0.5000 0.0000  2 Ru 2.83
3 Ac 0.0000 0.0000 0.5000  2 Ru 2.83
4 Ac 0.5000 0.0000 0.0000  2 Ru 2.83
5 Ru 0.0000 0.0000 0.0000  6 Ac 2.83

SG = Pm-3m (221)
Formation energy from raw total energies = -0.44 eV per atom
Energy above the most stable polymorph in this dataset = 0.74 eV/f.u.


No. 8
# RbYPt3

A relaxed structure of RbYPt3 (GGA-PBE, the Alexandria database).

a = 5.0797 Å, b = 5.0797 Å, c = 5.0797 Å
α = 90.00°, β = 90.00°, γ = 90.00°
With the nearest neighbours (Å) after each atom.
Element x y z (fractional)
1 Y 0.5000 0.5000 0.5000  12 Pt 3.59
2 Rb 0.0000 0.0000 0.0000  6 Pt 2.54
3 Pt 0.0000 0.5000 0.0000  2 Rb 2.54
4 Pt 0.0000 0.0000 0.5000  2 Rb 2.54
5 Pt 0.5000 0.0000 0.0000  2 Rb 2.54

SG = Pm-3m (221)
Calculated formation energy = 6.895 eV per formula unit
Energy above the most stable polymorph in this dataset = 5.05 eV/f.u.


No. 9
# GeBi3C

A relaxed structure of GeBi3C (GGA-PBE, the Alexandria database).

a = 5.0143 Å, b = 5.0143 Å, c = 5.0143 Å
α = 90.00°, β = 90.00°, γ = 90.00°
With the nearest neighbours (Å) after each atom.
Element x y z (fractional)
1 C 0.0000 0.0000 0.0000  6 Bi 2.51
2 Ge 0.5000 0.5000 0.5000  12 Bi 3.55
3 Bi 0.0000 0.5000 0.0000  2 C 2.51
4 Bi 0.0000 0.0000 0.5000  2 C 2.51
5 Bi 0.5000 0.0000 0.0000  2 C 2.51

SG = Pm-3m (221)
Calculated formation energy = 4.944 eV per formula unit
Energy above the most stable polymorph in this dataset = 0.00 eV/f.u.


No. 10
# CeAlSb

A relaxed structure of CeAlSb (GGA-PBE, the Alexandria database).

a = 3.9699 Å, b = 4.6991 Å, c = 4.6991 Å
α = 120.00°, β = 90.00°, γ = 90.00°
With the nearest neighbours (Å) after each atom.
Element x y z (fractional)
1 Sb 0.1666 0.3333 0.6667  3 Al 2.71
2 Al 0.1667 0.0000 0.0000  3 Sb 2.71
3 Ce 0.6667 0.6667 0.3333  6 Sb 3.36, 6 Al 3.36

SG = P-6m2 (187)
Formation energy from raw total energies = -0.47 eV per atom


No. 11
# Ta3TiW2

A relaxed structure of Ta3TiW2 (GGA-PBE, the Alexandria database).

a = 4.5700 Å, b = 6.9600 Å, c = 7.2001 Å
α = 94.83°, β = 108.50°, γ = 90.00°
With the nearest neighbours (Å) after each atom.
Element x y z (fractional)
1 Ta 0.6932 0.9679 0.3865  2 W 2.71-2.72, 5 Ta 2.78-2.87, 1 Ti 2.91
2 Ta 0.0751 0.8604 0.1502  3 W 2.71-2.76, 3 Ta 2.86-2.95, 1 Ti 3.03
3 Ta 0.3882 0.4274 0.7764  5 W 2.74-2.86, 1 Ta 2.87
4 Ta 0.6118 0.5726 0.2236  5 W 2.74-2.86, 1 Ta 2.87
5 Ta 0.9249 0.1396 0.8498  3 W 2.71-2.76, 3 Ta 2.86-2.95, 1 Ti 3.03
6 Ta 0.3068 0.0321 0.6135  2 W 2.71-2.72, 5 Ta 2.78-2.87, 1 Ti 2.91
7 Ti 0.1481 0.2848 0.2963  5 W 2.73-2.80, 2 Ta 2.91-3.03
8 Ti 0.8519 0.7152 0.7037  5 W 2.73-2.80, 2 Ta 2.91-3.03
9 W 0.4620 0.8145 0.9239  1 W 2.70, 5 Ta 2.71-2.79, 2 Ti 2.79
10 W 0.5380 0.1855 0.0761  1 W 2.70, 5 Ta 2.71-2.79, 2 Ti 2.79
11 W 0.2344 0.6544 0.4688  5 Ta 2.71-2.86, 3 Ti 2.73-2.80
12 W 0.7656 0.3456 0.5312  5 Ta 2.71-2.86, 3 Ti 2.73-2.80

SG = C2/m (12)
Calculated formation energy = 0.895 eV per formula unit


No. 12
# Ac3Nd2HoS6

A relaxed structure of Ac3Nd2HoS6 (GGA-PBE, the Alexandria database).

a = 7.1648 Å, b = 7.1648 Å, c = 7.2649 Å
α = 99.49°, β = 99.49°, γ = 120.10°
With the nearest neighbours (Å) after each atom.
Element x y z (fractional)
1 Ac 0.1703 0.8297 0.5000  6 S 3.01-3.06
2 Ac 0.8297 0.1703 0.5000  6 S 3.01-3.06
3 Ac 0.5000 0.5000 0.5000  6 S 3.01-3.08
4 Nd 0.3334 0.6666 0.0000  6 S 2.88-2.90
5 Nd 0.6666 0.3334 0.0000  6 S 2.88-2.90
6 Ho 0.0000 0.0000 0.0000  6 S 2.79-2.80
7 S 0.9246 0.6017 0.7730  1 Ho 2.79, 2 Nd 2.88, 3 Ac 3.01-3.06
8 S 0.7543 0.7543 0.2312  1 Ho 2.80, 2 Nd 2.90, 3 Ac 3.02-3.08
9 S 0.0754 0.3983 0.2270  1 Ho 2.79, 2 Nd 2.88, 3 Ac 3.01-3.06
10 S 0.6017 0.9246 0.7730  1 Ho 2.79, 2 Nd 2.88, 3 Ac 3.01-3.06
11 S 0.2457 0.2457 0.7688  1 Ho 2.80, 2 Nd 2.90, 3 Ac 3.02-3.08
12 S 0.3983 0.0754 0.2270  1 Ho 2.79, 2 Nd 2.88, 3 Ac 3.01-3.06

SG = C2/m (12)
Formation energy from raw total energies = -2.00 eV per atom